# TbPm2Cu GGA-PBE optimized geometry
data_TbPm2Cu
_space_group_name_H-M_alt 'R -3 m'
_space_group_IT_number 166
_space_group_name_Hall '-R 3 2"'
_cell_length_a 3.5123
_cell_length_b 3.5123
_cell_length_c 34.1390
_cell_angle_alpha 90.00
_cell_angle_beta 90.00
_cell_angle_gamma 120.00
loop_
_atom_site_label
_atom_site_fract_x
_atom_site_fract_y
_atom_site_fract_z
Tb1 0.0000 0.0000 0.0000
Pm1 0.0000 0.0000 0.4181
Cu1 0.0000 0.0000 0.5000
# - ΔE_f (meV per atom) = 426
# - total magnetic moment (μB per formula unit) = 0.000
# - N(E_F) (states/eV per cell) = 15.636
# - energy above the lowest structure with this stoichiometry (eV per atom) = 0.499